1.
Lu4CuPN2 | GGA-PBE | optimized geometry

abc: 3.4512 3.4512 13.1843
angles: 90.00 90.00 120.00
With the nearest neighbours (Å) after each atom.
Sites, in units of the cell vectors:
N  0.0000  0.0000  0.7390  6 Lu 2.36-2.44
Lu  0.6667  0.3333  0.1541  3 N 2.44
N  0.0000  0.0000  0.2610  6 Lu 2.36-2.44
P  0.6667  0.3333  0.5000  6 Lu 2.75
Lu  0.3333  0.6667  0.3568  3 N 2.36
Lu  0.6667  0.3333  0.8459  3 N 2.44
Lu  0.3333  0.6667  0.6432  3 N 2.36
Cu  0.3333  0.6667  0.0000  6 Lu 2.85

Summary:
E (eV per atom): -6.64
Space-group type: P-6m2
Mass density (g/cm3): 10.0

2.
PrDyNO | GGA-PBE | optimized geometry

abc: 6.7504 8.2574 5.1477
angles: 90.00 90.00 90.00
With the nearest neighbours (Å) after each atom.
Sites, in units of the cell vectors:
N  0.9389  0.1371  0.0511  1 Dy 2.21, 2 Pr 2.40-2.43
Dy  0.5754  0.6191  0.0505  2 O 2.21-2.26, 1 N 2.21
Dy  0.4246  0.3809  0.5505  2 O 2.21-2.26, 1 N 2.21
Pr  0.9216  0.1303  0.5507  4 N 2.40-2.58, 1 O 2.42
O  0.0976  0.3855  0.5501  2 Dy 2.21-2.26, 1 Pr 2.42
N  0.0611  0.8629  0.5511  1 Dy 2.21, 2 Pr 2.40-2.43
N  0.4389  0.8629  0.0511  1 Dy 2.21, 2 Pr 2.40-2.43
Pr  0.5784  0.1303  0.0507  4 N 2.40-2.58, 1 O 2.42
O  0.4024  0.3855  0.0501  2 Dy 2.21-2.26, 1 Pr 2.42
N  0.5611  0.1371  0.5511  1 Dy 2.21, 2 Pr 2.40-2.43
O  0.9024  0.6145  0.0501  2 Dy 2.21-2.26, 1 Pr 2.42
Pr  0.0784  0.8697  0.0507  4 N 2.40-2.58, 1 O 2.42
O  0.5976  0.6145  0.5501  2 Dy 2.21-2.26, 1 Pr 2.42
Dy  0.0754  0.3809  0.0505  2 O 2.21-2.26, 1 N 2.21
Dy  0.9246  0.6191  0.5505  2 O 2.21-2.26, 1 N 2.21
Pr  0.4216  0.8697  0.5507  4 N 2.40-2.58, 1 O 2.42

Summary:
Excess energy over the best structure of this formula in the dataset (meV per atom): 82
Space-group type: Pbcm
Mass density (g/cm3): 7.7

3.
TbScPbC | GGA-PBE | optimized geometry

abc: 3.5275 3.5275 15.7369
angles: 90.00 90.00 120.00
With the nearest neighbours (Å) after each atom.
Sites, in units of the cell vectors:
C  0.0000  0.0000  0.9937  3 Sc 2.35, 3 Tb 2.46
Tb  0.6667  0.3333  0.5808  3 C 2.46
C  0.0000  0.0000  0.4937  3 Sc 2.35, 3 Tb 2.46
Sc  0.3333  0.6667  0.4192  3 C 2.35
Tb  0.3333  0.6667  0.0808  3 C 2.46
Pb  0.3333  0.6667  0.7563  3 Sc 3.27, 3 Tb 3.43, 6 Pb 3.53
Sc  0.6667  0.3333  0.9192  3 C 2.35
Pb  0.6667  0.3333  0.2563  3 Sc 3.27, 3 Tb 3.43, 6 Pb 3.53

Summary:
E (eV per atom): -6.49
Space-group type: P6_3mc
Mass density (g/cm3): 8.3

4.
Ta3B4P | GGA-PBE | optimized geometry

abc: 3.0898 3.2293 8.6040
angles: 90.00 90.00 90.00
With the nearest neighbours (Å) after each atom.
Sites, in units of the cell vectors:
Ta  0.0000  0.0000  0.5000  12 B 2.41-2.43
Ta  0.5000  0.0000  0.8195  6 B 2.42-2.43
B  0.5000  0.5000  0.6098  3 B 1.76-1.89
Ta  0.5000  0.0000  0.1805  6 B 2.42-2.43
P  0.0000  0.5000  0.0000  2 B 2.51, 8 Ta 2.72
B  0.0000  0.5000  0.2914  2 B 1.76
B  0.5000  0.5000  0.3902  3 B 1.76-1.89
B  0.0000  0.5000  0.7086  2 B 1.76

Summary:
E (eV per atom): -9.02
Space-group type: Pmmm
Mass density (g/cm3): 11.9

5.
InTc2 | GGA-PBE | optimized geometry

abc: 5.2544 5.2544 5.2544
angles: 60.00 60.00 60.00
With the nearest neighbours (Å) after each atom.
Sites, in units of the cell vectors:
Tc  0.6250  0.1250  0.6250  6 Tc 2.63
In  0.0000  0.0000  0.0000  12 Tc 3.08, 4 In 3.22
In  0.2500  0.2500  0.2500  12 Tc 3.08, 4 In 3.22
Tc  0.6250  0.6250  0.6250  6 Tc 2.63
Tc  0.6250  0.6250  0.1250  6 Tc 2.63
Tc  0.1250  0.6250  0.6250  6 Tc 2.63

Summary:
E (eV per atom): -7.46
Space-group type: Fd-3m
Mass density (g/cm3): 10.1

6.
LiSiGeIr | GGA-PBE | optimized geometry

abc: 4.2634 4.2634 4.2634
angles: 60.00 60.00 60.00
With the nearest neighbours (Å) after each atom.
Sites, in units of the cell vectors:
Si  0.5000  0.5000  0.5000  4 Li 2.61, 4 Ir 2.61
Ge  0.0000  0.0000  0.0000  4 Li 2.61, 4 Ir 2.61
Ir  0.2500  0.2500  0.2500  4 Si 2.61, 4 Ge 2.61
Li  0.7500  0.7500  0.7500  4 Si 2.61, 4 Ge 2.61

Summary:
Excess energy over the best structure of this formula in the dataset (meV per atom): 0
Space-group type: F-43m
Mass density (g/cm3): 9.1

7.
LiCuNiTeS2 | GGA-PBE | optimized geometry

abc: 6.7110 6.7110 9.6343
angles: 90.00 90.00 150.94
With the nearest neighbours (Å) after each atom.
Sites, in units of the cell vectors:
S  0.8815  0.1185  0.4543  1 Cu 2.23, 2 Ni 2.32
Cu  0.0375  0.9625  0.7500  2 S 2.23
S  0.1185  0.8815  0.9543  1 Cu 2.23, 2 Ni 2.32
S  0.8815  0.1185  0.0457  1 Cu 2.23, 2 Ni 2.32
Ni  0.5000  0.5000  0.5000  4 S 2.32
Li  0.3043  0.6957  0.2500  2 Cu 2.66, 4 S 2.78
Ni  0.5000  0.5000  0.0000  4 S 2.32
Cu  0.9625  0.0375  0.2500  2 S 2.23
Te  0.3855  0.6145  0.7500  2 Cu 2.60, 2 Ni 2.83
S  0.1185  0.8815  0.5457  1 Cu 2.23, 2 Ni 2.32
Li  0.6957  0.3043  0.7500  2 Cu 2.66, 4 S 2.78
Te  0.6145  0.3855  0.2500  2 Cu 2.60, 2 Ni 2.83

Summary:
E (eV per atom): -4.08
Space-group type: Cmcm
Mass density (g/cm3): 5.1

8.
SiNiMoIr | GGA-PBE | optimized geometry

abc: 4.2490 4.2490 4.2490
angles: 60.00 60.00 60.00
With the nearest neighbours (Å) after each atom.
Sites, in units of the cell vectors:
Ir  0.5000  0.5000  0.5000  4 Ni 2.60, 4 Mo 2.60
Mo  0.2500  0.2500  0.2500  4 Si 2.60, 4 Ir 2.60
Si  0.0000  0.0000  0.0000  4 Mo 2.60, 4 Ni 2.60
Ni  0.7500  0.7500  0.7500  4 Ir 2.60, 4 Si 2.60

Summary:
E (eV per atom): -7.80
Space-group type: F-43m
Mass density (g/cm3): 11.5

9.
Pr4Mg3Ni2 | GGA-PBE | optimized geometry

abc: 7.6614 3.8325 8.4822
angles: 90.00 108.38 90.00
With the nearest neighbours (Å) after each atom.
Sites, in units of the cell vectors:
Ni  0.1546  0.0000  0.6084  1 Ni 2.50
Mg  0.5000  0.0000  0.5000  2 Ni 3.06, 4 Pr 3.28
Pr  0.1063  0.5000  0.3188  4 Ni 2.97-3.04
Pr  0.4135  0.5000  0.7797  2 Ni 2.81
Pr  0.5865  0.5000  0.2203  2 Ni 2.81
Mg  0.2048  0.0000  0.9981  1 Mg 3.15, 1 Ni 3.20, 4 Pr 3.40-3.51
Pr  0.8937  0.5000  0.6812  4 Ni 2.97-3.04
Ni  0.8454  0.0000  0.3916  1 Ni 2.50
Mg  0.7952  0.0000  0.0019  1 Mg 3.15, 1 Ni 3.20, 4 Pr 3.40-3.51

Summary:
E (eV per atom): -4.08
Space-group type: P2/m
Mass density (g/cm3): 5.3

10.
Gd2AlSiI2 | GGA-PBE | optimized geometry

abc: 4.1717 4.1717 12.0744
angles: 90.00 90.00 120.00
With the nearest neighbours (Å) after each atom.
Sites, in units of the cell vectors:
I  0.6667  0.3333  0.8371  3 Gd 3.16
I  0.0000  0.0000  0.1638  3 Gd 3.16
Gd  0.3333  0.6667  0.6677  3 Al 3.05, 3 I 3.16, 3 Si 3.26
Si  0.6667  0.3333  0.4855  3 Al 2.43
Al  0.0000  0.0000  0.5129  3 Si 2.43
Gd  0.3333  0.6667  0.3330  3 Si 3.03, 3 I 3.16, 3 Al 3.24

Summary:
E (eV per atom): -4.62
Space-group type: P3m1
Mass density (g/cm3): 5.7

11.
AlCdGaH6 | GGA-PBE | optimized geometry

abc: 4.9214 4.9214 4.9214
angles: 60.00 60.00 60.00
With the nearest neighbours (Å) after each atom.
Sites, in units of the cell vectors:
H  0.9936  0.9936  0.5064  1 Ga 1.78
Ga  0.2500  0.2500  0.2500  6 H 1.78
Al  0.0000  0.0000  0.0000  12 H 2.46
H  0.5064  0.5064  0.9936  1 Ga 1.78
H  0.5064  0.9936  0.9936  1 Ga 1.78
H  0.5064  0.9936  0.5064  1 Ga 1.78
H  0.9936  0.5064  0.5064  1 Ga 1.78
H  0.9936  0.5064  0.9936  1 Ga 1.78
Cd  0.5000  0.5000  0.5000  12 H 2.46

Summary:
E (eV per atom): -2.53
Space-group type: F-43m
Mass density (g/cm3): 4.2

12.
LaNiB4 | GGA-PBE | optimized geometry

abc: 3.1873 3.1873 6.9784
angles: 90.00 90.00 120.00
With the nearest neighbours (Å) after each atom.
Sites, in units of the cell vectors:
B  0.3333  0.6667  0.8103  3 B 1.84
B  0.3333  0.6667  0.1897  3 B 1.84
Ni  0.0000  0.0000  0.0000  12 B 2.27
B  0.6667  0.3333  0.8103  3 B 1.84
La  0.0000  0.0000  0.5000  12 B 2.84
B  0.6667  0.3333  0.1897  3 B 1.84

Summary:
Excess energy over the best structure of this formula in the dataset (meV per atom): 0
Space-group type: P6/mmm
Mass density (g/cm3): 6.5